Density functional theory data (GGA-PBE) for a relaxed structure of KAcAgAs.

It has space group F-43m (No. 216), with a = 7.773 Å, b = 7.773 Å, c = 7.773 Å, α = 90.00°, β = 90.00° and γ = 90.00°. Symmetry generates all atoms from K at (0.000, 0.000, 0.000), Ac at (0.000, 0.000, 0.500), Ag at (0.250, 0.250, 0.250) and As at (0.250, 0.250, 0.750).

Density functional theory data (GGA-PBE) for a relaxed structure of Sc12Mn3Cd5.

The calculation puts the density of states at the Fermi level at 1.357 states/eV per atom.

It has space group Ia-3d (No. 230), with a = 16.243 Å, b = 16.243 Å, c = 16.243 Å, α = 90.00°, β = 90.00° and γ = 90.00°. Symmetry generates all atoms from Sc at (0.013, 0.090, 0.648), Mn at (0.000, 0.250, 0.125), Cd at (0.000, 0.000, 0.000) and Cd at (0.000, 0.250, 0.375).

Density functional theory data (GGA-PBE) for a relaxed structure of PrDy3Tl3.

The calculation puts the density of states at the Fermi level at 1.233 states/eV per atom.

It has space group P2_13 (No. 198), with a = 9.424 Å, b = 9.424 Å, c = 9.424 Å, α = 90.00°, β = 90.00° and γ = 90.00°. Symmetry generates all atoms from Pr at (0.070, 0.430, 0.570), Dy at (0.082, 0.582, 0.918), Dy at (0.178, 0.178, 0.178), Dy at (0.180, 0.820, 0.320) and Tl at (0.001, 0.260, 0.885).

| no. | M_tot (μB per formula unit) | DFT formation energy (kJ/mol of formula units) |
| --- | --- | --- |
| 1 | 0.00 | -184.0 |
| 2 | 2.73 | 971.1 |
| 3 | 0.00 | -172.7 |